A relaxed AlVClF2 crystal. Source: Alexandria via LeMat-Bulk, functional GGA+U.

Unit cell a=3.725 b=7.086 c=3.725 alpha=90.00 beta=90.00 gamma=90.00
Sites, in units of the cell vectors:
V  0.500  0.500  0.500
F  0.000  0.000  0.500
F  0.500  0.000  0.000
Al  0.000  0.000  0.000
Cl  0.000  0.500  0.000

Summary:
- crystal system = tetragonal
- energy (eV per atom) = -4.75
- density of states at the Fermi level (states/eV/f.u.) = 1.3
- mass density (Mg/m³) = 2.556